[1]
Here is a relaxed structure of Sr2CdH from the Alexandria database. Energies are from PBE.

Cell lengths 3.700, 4.327, 7.630 Å; angles 96.81, 90.00, 90.00 degrees
Sites, in units of the cell vectors:
H 0.500 0.500 0.000
Cd 0.500 0.000 0.500
Sr 0.000 0.559 0.766
Sr 0.000 0.441 0.234

Output
total moment = 0.0 μB per formula unit
energy above the most stable polymorph in this dataset = 127.4 meV per atom
VASP energy = -8.51 eV for the cell shown

***

[2]
Here is a relaxed structure of CsSmB2O6 from the Alexandria database. Energies are from PBE.

Cell lengths 7.039, 7.039, 7.972 Å; angles 104.22, 104.22, 94.81 degrees
Each line ends with the local moment (μB).
Sites, in units of the cell vectors:
O 0.233 0.559 0.435  0.34
O 0.767 0.441 0.565  0.34
O 0.667 0.699 0.758  0.27
O 0.988 0.318 0.213  0.24
O 0.333 0.301 0.242  0.27
O 0.441 0.767 0.065  0.34
O 0.301 0.333 0.742  0.27
O 0.699 0.667 0.258  0.27
O 0.559 0.233 0.935  0.34
O 0.012 0.682 0.787  0.24
O 0.318 0.988 0.713  0.24
O 0.682 0.012 0.287  0.24
Cs 0.884 0.116 0.750  0.00
Cs 0.116 0.884 0.250  0.00
Sm 0.332 0.668 0.750  0.00
Sm 0.668 0.332 0.250  0.00
B 0.816 0.610 0.706  -0.02
B 0.184 0.390 0.294  -0.02
B 0.610 0.816 0.206  -0.02
B 0.390 0.184 0.794  -0.02

Output
total moment = 2.0 μB per formula unit
VASP energy = -142.97 eV for the cell shown

***

[3]
Here is a relaxed structure of RhPbN2F from the Alexandria database. Energies are from PBE.

Cell lengths 3.790, 3.790, 5.453 Å; angles 90.00, 90.00, 90.00 degrees
Each line ends with the local moment (μB).
Sites, in units of the cell vectors:
N 0.500 0.000 0.000  0.13
N 0.000 0.500 0.000  0.13
Pb 0.500 0.500 0.500  0.00
Rh 0.000 0.000 0.000  0.00
F 0.000 0.000 0.500  0.00

Output
total moment = 0.3 μB per formula unit
energy above the most stable polymorph in this dataset = 0.0 meV per atom
VASP energy = -28.27 eV for the cell shown

***

[4]
Here is a relaxed structure of CaBeCd2Tc from the Alexandria database. Energies are from PBE.

Cell lengths 4.604, 5.165, 4.604 Å; angles 90.00, 90.00, 90.00 degrees
Each line ends with the local moment (μB).
Sites, in units of the cell vectors:
Cd 0.500 0.000 0.000  -0.01
Cd 0.000 0.000 0.500  0.00
Be 0.000 0.000 0.000  0.03
Ca 0.000 0.500 0.000  -0.03
Tc 0.500 0.500 0.500  2.78

Output
total moment = 3.0 μB per formula unit
formation energy = 0.830 eV per atom
VASP energy = -13.77 eV for the cell shown

***

[5]
Here is a relaxed structure of Ac2DyTl3 from the Alexandria database. Energies are from PBE.

Cell lengths 3.982, 3.982, 12.284 Å; angles 90.00, 90.00, 90.00 degrees
Sites, in units of the cell vectors:
Ac 0.500 0.500 0.823
Ac 0.500 0.500 0.177
Tl 0.000 0.000 0.000
Tl 0.000 0.000 0.359
Tl 0.000 0.000 0.641
Dy 0.500 0.500 0.500

Output
total moment = 0.0 μB per formula unit
energy above the most stable polymorph in this dataset = 0.0 meV per atom
formation energy = -0.343 eV per atom
VASP energy = -21.98 eV for the cell shown

***

[6]
Here is a relaxed structure of Te3Cl from the Alexandria database. Energies are from PBE.

Cell lengths 4.713, 4.713, 4.713 Å; angles 90.00, 90.00, 90.00 degrees
Sites, in units of the cell vectors:
Te 0.500 0.000 0.500
Te 0.000 0.500 0.500
Te 0.500 0.500 0.000
Cl 0.000 0.000 0.000

Output
total moment = 0.0 μB per formula unit
energy above the most stable polymorph in this dataset = 282.5 meV per atom
VASP energy = -10.38 eV for the cell shown

***

[7]
Here is a relaxed structure of Ti6HC3O2 from the Alexandria database. Energies are from PBE.

Cell lengths 5.289, 5.289, 5.267 Å; angles 99.69, 99.69, 119.97 degrees
Sites, in units of the cell vectors:
Ti 0.914 0.571 0.737
Ti 0.748 0.748 0.269
Ti 0.086 0.429 0.263
Ti 0.429 0.086 0.263
Ti 0.252 0.252 0.731
Ti 0.571 0.914 0.737
O 0.335 0.665 0.000
O 0.665 0.335 0.000
C 0.166 0.834 0.500
C 0.834 0.166 0.500
C 0.500 0.500 0.500
H 0.000 0.000 0.000

Output
total moment = 0.0 μB per formula unit
VASP energy = -105.38 eV for the cell shown

***

[8]
Here is a relaxed structure of KCuMo2 from the Alexandria database. Energies are from PBE.

Cell lengths 3.207, 3.219, 8.841 Å; angles 71.47, 90.00, 90.00 degrees
Sites, in units of the cell vectors:
Mo 0.000 0.934 0.095
Mo 0.500 0.210 0.250
Cu 0.000 0.561 0.426
K 0.500 0.795 0.730

Output
total moment = 0.0 μB per formula unit
energy above the most stable polymorph in this dataset = 0.0 meV per atom
formation energy = 0.682 eV per atom
VASP energy = -24.13 eV for the cell shown

***

Number 4 is which compound?
CaBeCd2Tc

***

The highest VASP energy belongs to which entry?
Sr2CdH